{
  "formula": "Rb2MnSO4F3",
  "functional": "SCAN",
  "state": "single point on PBEsol structure",
  "m_tot_mub_per_fu": 4.0,
  "formation_energy_uncorrected_ev_per_atom": -2.432,
  "cell": [[7.320, 0.000, 0.000], [0.000, 11.098, 0.000], [-0.478, 0.000, 8.754]],
  "species": ["Rb", "Rb", "Rb", "Rb", "Rb", "Rb", "Rb", "Rb", "Mn", "Mn", "Mn", "Mn", "S", "S", "S", "S", "O", "O", "O", "O", "O", "O", "O", "O", "O", "O", "O", "O", "O", "O", "O", "O", "F", "F", "F", "F", "F", "F", "F", "F", "F", "F", "F", "F"],
  "frac_coords": [[0.191, 0.191, 0.330], [0.191, 0.309, 0.830], [0.298, 0.691, 0.824], [0.298, 0.809, 0.324], [0.702, 0.191, 0.676], [0.702, 0.309, 0.176], [0.809, 0.691, 0.170], [0.809, 0.809, 0.670], [0.000, 0.000, 0.000], [0.000, 0.500, 0.500], [0.500, 0.000, 0.000], [0.500, 0.500, 0.500], [0.251, 0.002, 0.695], [0.251, 0.498, 0.195], [0.749, 0.502, 0.805], [0.749, 0.998, 0.305], [0.106, 0.058, 0.785], [0.106, 0.442, 0.285], [0.177, 0.599, 0.102], [0.177, 0.901, 0.602], [0.340, 0.094, 0.606], [0.340, 0.406, 0.106], [0.395, 0.556, 0.308], [0.395, 0.944, 0.808], [0.605, 0.056, 0.192], [0.605, 0.444, 0.692], [0.660, 0.594, 0.894], [0.660, 0.906, 0.394], [0.823, 0.099, 0.398], [0.823, 0.401, 0.898], [0.894, 0.558, 0.715], [0.894, 0.942, 0.215], [0.026, 0.660, 0.453], [0.026, 0.840, 0.953], [0.237, 0.003, 0.100], [0.237, 0.497, 0.600], [0.478, 0.158, 0.943], [0.478, 0.342, 0.443], [0.522, 0.658, 0.557], [0.522, 0.842, 0.057], [0.763, 0.503, 0.400], [0.763, 0.997, 0.900], [0.974, 0.160, 0.047], [0.974, 0.340, 0.547]]
}

{
  "formula": "MnRhOF2",
  "functional": "SCAN",
  "state": "single point on PBEsol structure",
  "m_tot_mub_per_fu": 6.4,
  "formation_energy_uncorrected_ev_per_atom": -1.299,
  "cell": [[3.920, 0.000, 0.000], [0.000, 3.920, 0.000], [0.000, 0.000, 3.792]],
  "species": ["Mn", "Rh", "O", "F", "F"],
  "frac_coords": [[0.000, 0.000, 0.000], [0.500, 0.500, 0.500], [0.000, 0.000, 0.500], [0.000, 0.500, 0.000], [0.500, 0.000, 0.000]]
}

The records above yield total DFT energy (no corrections) values of -526.65 -71.83 eV/cell, respectively.